Record 1
First-principles (PBE) data for crystalline Cu7Ag2 at its relaxed geometry, as listed in OQMD.

The structure in CIF format:
```
data_Cu7Ag2
_chemical_formula_sum 'Cu7 Ag2'
_symmetry_space_group_name_H-M 'P 1'
_symmetry_Int_Tables_number 1
_cell_length_a 6.939
_cell_length_b 6.939
_cell_length_c 6.470
_cell_angle_alpha 91.46
_cell_angle_beta 91.46
_cell_angle_gamma 22.40
loop_
_symmetry_equiv_pos_as_xyz
'x,y,z'
loop_
_atom_site_label
_atom_site_type_symbol
_atom_site_fract_x
_atom_site_fract_y
_atom_site_fract_z
Cu1 Cu 0.000 0.000 0.000
Cu2 Cu 0.116 0.116 0.687
Cu3 Cu 0.230 0.230 0.334
Cu4 Cu 0.330 0.330 0.998
Cu5 Cu 0.670 0.670 0.002
Cu6 Cu 0.770 0.770 0.666
Cu7 Cu 0.884 0.884 0.313
Ag1 Ag 0.440 0.440 0.665
Ag2 Ag 0.560 0.560 0.335
```

Calculated values
relative energy among the computed polymorphs	2.7	kJ per mole of atoms

Record 2
First-principles (PBE) data for crystalline CuAg at its relaxed geometry, as listed in OQMD.

The structure in CIF format:
```
data_CuAg
_chemical_formula_sum 'Cu5 Ag5'
_symmetry_space_group_name_H-M 'P 1'
_symmetry_Int_Tables_number 1
_cell_length_a 7.407
_cell_length_b 7.407
_cell_length_c 5.651
_cell_angle_alpha 101.49
_cell_angle_beta 101.49
_cell_angle_gamma 29.55
loop_
_symmetry_equiv_pos_as_xyz
'x,y,z'
loop_
_atom_site_label
_atom_site_type_symbol
_atom_site_fract_x
_atom_site_fract_y
_atom_site_fract_z
Cu1 Cu 0.000 0.000 0.000
Cu2 Cu 0.003 0.003 0.474
Cu3 Cu 0.213 0.213 0.082
Cu4 Cu 0.406 0.406 0.177
Cu5 Cu 0.812 0.812 0.901
Ag1 Ag 0.210 0.210 0.593
Ag2 Ag 0.412 0.412 0.696
Ag3 Ag 0.600 0.600 0.282
Ag4 Ag 0.608 0.608 0.799
Ag5 Ag 0.810 0.810 0.370
```

Record 3
First-principles (PBE) data for crystalline Cu3Ag5 at its relaxed geometry, as listed in OQMD.

The structure in CIF format:
```
data_Cu3Ag5
_chemical_formula_sum 'Cu3 Ag5'
_symmetry_space_group_name_H-M 'P 1'
_symmetry_Int_Tables_number 1
_cell_length_a 4.904
_cell_length_b 4.904
_cell_length_c 9.608
_cell_angle_alpha 102.57
_cell_angle_beta 102.57
_cell_angle_gamma 33.84
loop_
_symmetry_equiv_pos_as_xyz
'x,y,z'
loop_
_atom_site_label
_atom_site_type_symbol
_atom_site_fract_x
_atom_site_fract_y
_atom_site_fract_z
Cu1 Cu 0.000 0.000 0.000
Cu2 Cu 0.273 0.273 0.898
Cu3 Cu 0.727 0.727 0.102
Ag1 Ag 0.000 0.000 0.500
Ag2 Ag 0.237 0.237 0.359
Ag3 Ag 0.475 0.475 0.225
Ag4 Ag 0.525 0.525 0.775
Ag5 Ag 0.763 0.763 0.641
```

Calculated values
relative energy among the computed polymorphs	2.5	kJ per mole of atoms

Record 4
First-principles (PBE) data for crystalline Cu3Ag2 at its relaxed geometry, as listed in OQMD.

The structure in CIF format:
```
data_Cu3Ag2
_chemical_formula_sum 'Cu6 Ag4'
_symmetry_space_group_name_H-M 'P 1'
_symmetry_Int_Tables_number 1
_cell_length_a 4.735
_cell_length_b 4.735
_cell_length_c 11.504
_cell_angle_alpha 99.32
_cell_angle_beta 99.32
_cell_angle_gamma 34.01
loop_
_symmetry_equiv_pos_as_xyz
'x,y,z'
loop_
_atom_site_label
_atom_site_type_symbol
_atom_site_fract_x
_atom_site_fract_y
_atom_site_fract_z
Cu1 Cu 0.045 0.045 0.375
Cu2 Cu 0.267 0.267 0.722
Cu3 Cu 0.344 0.344 0.453
Cu4 Cu 0.656 0.656 0.547
Cu5 Cu 0.733 0.733 0.278
Cu6 Cu 0.955 0.955 0.625
Ag1 Ag 0.147 0.147 0.061
Ag2 Ag 0.440 0.440 0.178
Ag3 Ag 0.560 0.560 0.822
Ag4 Ag 0.853 0.853 0.939
```

Calculated values
relative energy among the computed polymorphs	2.4	kJ per mole of atoms

Record 5
First-principles (PBE) data for crystalline Cu4Ag5 at its relaxed geometry, as listed in OQMD.

The structure in CIF format:
```
data_Cu4Ag5
_chemical_formula_sum 'Cu4 Ag5'
_symmetry_space_group_name_H-M 'P 1'
_symmetry_Int_Tables_number 1
_cell_length_a 17.084
_cell_length_b 17.084
_cell_length_c 17.084
_cell_angle_alpha 170.45
_cell_angle_beta 170.45
_cell_angle_gamma 13.52
loop_
_symmetry_equiv_pos_as_xyz
'x,y,z'
loop_
_atom_site_label
_atom_site_type_symbol
_atom_site_fract_x
_atom_site_fract_y
_atom_site_fract_z
Cu1 Cu 0.055 0.055 0.000
Cu2 Cu 0.400 0.400 0.000
Cu3 Cu 0.600 0.600 0.000
Cu4 Cu 0.945 0.945 0.000
Ag1 Ag 0.155 0.155 0.000
Ag2 Ag 0.282 0.282 0.000
Ag3 Ag 0.500 0.500 0.000
Ag4 Ag 0.718 0.718 0.000
Ag5 Ag 0.845 0.845 0.000
```

Calculated values
relative energy among the computed polymorphs	1.7	kJ per mole of atoms

Record 6
First-principles (PBE) data for crystalline Cu4Ag5 at its relaxed geometry, as listed in OQMD.

The structure in CIF format:
```
data_Cu4Ag5
_chemical_formula_sum 'Cu4 Ag5'
_symmetry_space_group_name_H-M 'P 1'
_symmetry_Int_Tables_number 1
_cell_length_a 7.398
_cell_length_b 7.398
_cell_length_c 6.732
_cell_angle_alpha 92.71
_cell_angle_beta 92.71
_cell_angle_gamma 22.12
loop_
_symmetry_equiv_pos_as_xyz
'x,y,z'
loop_
_atom_site_label
_atom_site_type_symbol
_atom_site_fract_x
_atom_site_fract_y
_atom_site_fract_z
Cu1 Cu 0.047 0.047 0.343
Cu2 Cu 0.400 0.400 0.355
Cu3 Cu 0.600 0.600 0.645
Cu4 Cu 0.953 0.953 0.657
Ag1 Ag 0.164 0.164 0.971
Ag2 Ag 0.289 0.289 0.664
Ag3 Ag 0.500 0.500 0.000
Ag4 Ag 0.711 0.711 0.336
Ag5 Ag 0.836 0.836 0.029
```

Calculated values
relative energy among the computed polymorphs	5.2	kJ per mole of atoms

Record 7
First-principles (PBE) data for crystalline CuAg at its relaxed geometry, as listed in OQMD.

The structure in CIF format:
```
data_CuAg
_chemical_formula_sum 'Cu4 Ag4'
_symmetry_space_group_name_H-M 'P 1'
_symmetry_Int_Tables_number 1
_cell_length_a 4.746
_cell_length_b 2.801
_cell_length_c 9.184
_cell_angle_alpha 90.00
_cell_angle_beta 101.20
_cell_angle_gamma 90.00
loop_
_symmetry_equiv_pos_as_xyz
'x,y,z'
loop_
_atom_site_label
_atom_site_type_symbol
_atom_site_fract_x
_atom_site_fract_y
_atom_site_fract_z
Cu1 Cu 0.000 0.000 0.000
Cu2 Cu 0.000 0.500 0.500
Cu3 Cu 0.246 0.000 0.744
Cu4 Cu 0.754 0.000 0.256
Ag1 Ag 0.233 0.500 0.244
Ag2 Ag 0.500 0.000 0.500
Ag3 Ag 0.500 0.500 0.000
Ag4 Ag 0.767 0.500 0.756
```

Record 8
First-principles (PBE) data for crystalline Cu3Ag2 at its relaxed geometry, as listed in OQMD.

The structure in CIF format:
```
data_Cu3Ag2
_chemical_formula_sum 'Cu6 Ag4'
_symmetry_space_group_name_H-M 'P 1'
_symmetry_Int_Tables_number 1
_cell_length_a 3.832
_cell_length_b 9.865
_cell_length_c 9.865
_cell_angle_alpha 22.57
_cell_angle_beta 90.00
_cell_angle_gamma 90.00
loop_
_symmetry_equiv_pos_as_xyz
'x,y,z'
loop_
_atom_site_label
_atom_site_type_symbol
_atom_site_fract_x
_atom_site_fract_y
_atom_site_fract_z
Cu1 Cu 0.000 0.000 0.000
Cu2 Cu 0.000 0.198 0.198
Cu3 Cu 0.000 0.397 0.397
Cu4 Cu 0.000 0.792 0.792
Cu5 Cu 0.500 0.104 0.104
Cu6 Cu 0.500 0.699 0.699
Ag1 Ag 0.000 0.604 0.604
Ag2 Ag 0.500 0.293 0.293
Ag3 Ag 0.500 0.500 0.500
Ag4 Ag 0.500 0.897 0.897
```

Calculated values
relative energy among the computed polymorphs	5.2	kJ per mole of atoms

Record 9
First-principles (PBE) data for crystalline Cu3Ag7 at its relaxed geometry, as listed in OQMD.

The structure in CIF format:
```
data_Cu3Ag7
_chemical_formula_sum 'Cu3 Ag7'
_symmetry_space_group_name_H-M 'P 1'
_symmetry_Int_Tables_number 1
_cell_length_a 7.520
_cell_length_b 7.520
_cell_length_c 4.938
_cell_angle_alpha 96.31
_cell_angle_beta 96.31
_cell_angle_gamma 141.73
loop_
_symmetry_equiv_pos_as_xyz
'x,y,z'
loop_
_atom_site_label
_atom_site_type_symbol
_atom_site_fract_x
_atom_site_fract_y
_atom_site_fract_z
Cu1 Cu 0.000 0.000 0.000
Cu2 Cu 0.599 0.401 0.000
Cu3 Cu 0.903 0.097 0.500
Ag1 Ag 0.093 0.907 0.500
Ag2 Ag 0.193 0.807 0.000
Ag3 Ag 0.303 0.697 0.500
Ag4 Ag 0.408 0.592 0.000
Ag5 Ag 0.502 0.498 0.500
Ag6 Ag 0.701 0.299 0.500
Ag7 Ag 0.805 0.195 0.000
```

Calculated values
relative energy among the computed polymorphs	4.9	kJ per mole of atoms

Record 10
First-principles (PBE) data for crystalline CuAg at its relaxed geometry, as listed in OQMD.

The structure in CIF format:
```
data_CuAg
_chemical_formula_sum 'Cu5 Ag5'
_symmetry_space_group_name_H-M 'P 1'
_symmetry_Int_Tables_number 1
_cell_length_a 7.390
_cell_length_b 7.390
_cell_length_c 4.730
_cell_angle_alpha 95.93
_cell_angle_beta 95.93
_cell_angle_gamma 142.24
loop_
_symmetry_equiv_pos_as_xyz
'x,y,z'
loop_
_atom_site_label
_atom_site_type_symbol
_atom_site_fract_x
_atom_site_fract_y
_atom_site_fract_z
Cu1 Cu 0.000 0.000 0.000
Cu2 Cu 0.307 0.693 0.500
Cu3 Cu 0.498 0.502 0.500
Cu4 Cu 0.709 0.291 0.500
Cu5 Cu 0.903 0.097 0.500
Ag1 Ag 0.097 0.903 0.500
Ag2 Ag 0.205 0.795 0.000
Ag3 Ag 0.407 0.593 0.000
Ag4 Ag 0.603 0.397 0.000
Ag5 Ag 0.807 0.193 0.000
```

Calculated E_form, 0.075, 0.095, 0.063, 0.067, 0.056, 0.092, 0.105, 0.096, 0.079, 0.109 eV/atom (same order as the records).